Computed, not measured: a relaxed structure of InIN3 at the PBE-GGA level of DFT.

Properties
calculated volume: 65.5 Å³/cell
total energy: -3.89 eV/atom
DOS at the Fermi energy: 2.4 states/eV per cell

Cell: 4.0301 4.0301 4.0301 Å, 90.00 90.00 90.00°
Last column: nearest neighbours and their distance in Å.
Element x y z (fractional)
N1 0.0000 0.0000 0.5000  2 I 2.02
N2 0.0000 0.5000 0.0000  2 I 2.02
In1 0.5000 0.5000 0.5000  12 N 2.85
I1 0.0000 0.0000 0.0000  6 N 2.02
N3 0.5000 0.0000 0.0000  2 I 2.02

Computed, not measured: a relaxed structure of InI2N at the PBE-GGA level of DFT.

Properties
calculated volume: 305.2 Å³/cell
total energy: -3.23 eV/atom
E above lowest polymorph: 0 meV/atom
DOS at the Fermi energy: 1.8 states/eV per cell

Cell: 4.4677 8.2547 8.6800 Å, 82.41 89.99 105.71°
Last column: nearest neighbours and their distance in Å.
Element x y z (fractional)
I1 0.1700 0.3399 0.7068  2 In 2.93
In1 0.4234 0.8468 0.4085  2 N 2.21-2.22
I2 0.8300 0.6601 0.2932  2 In 2.93
N1 0.4370 0.8740 0.6587  2 In 2.21-2.22, 2 I 2.35
N2 0.5630 0.1260 0.3413  2 In 2.21-2.22, 2 I 2.35
I3 0.9084 0.8168 0.7304  2 N 2.35
In2 0.5766 0.1532 0.5915  2 N 2.21-2.22
I4 0.0916 0.1832 0.2696  2 N 2.35

Computed, not measured: a relaxed structure of NaInI2N at the PBE-GGA level of DFT.

Properties
calculated volume: 157.2 Å³/cell
total energy: -3.04 eV/atom
E above lowest polymorph: 0 meV/atom
DOS at the Fermi energy: 3.0 states/eV per cell

Cell: 6.1499 6.1499 4.1576 Å, 90.00 90.00 90.00°
Last column: nearest neighbours and their distance in Å.
Element x y z (fractional)
I1 0.0000 0.5000 0.0000  2 In 3.07
I2 0.5000 0.0000 0.0000  2 In 3.07
N1 0.0000 0.0000 0.5000  2 In 2.08
In1 0.0000 0.0000 0.0000  2 N 2.08
Na1 0.5000 0.5000 0.5000  8 I 3.71

Computed, not measured: a relaxed structure of NaInIN2 at the PBE-GGA level of DFT.

Properties
calculated volume: 131.1 Å³/cell
total energy: -3.58 eV/atom
E above lowest polymorph: 0 meV/atom
DOS at the Fermi energy: 1.7 states/eV per cell

Cell: 4.4909 4.4909 6.4989 Å, 90.00 90.00 90.00°
Last column: nearest neighbours and their distance in Å.
Element x y z (fractional)
I1 0.0000 0.0000 0.5000  4 Na 3.18, 2 In 3.25
In1 0.0000 0.0000 0.0000  4 N 2.25
N1 0.0000 0.5000 0.0000  2 In 2.25
Na1 0.5000 0.5000 0.5000  4 I 3.18
N2 0.5000 0.0000 0.0000  2 In 2.25